(1)
Below is Sm3Al2Ga4 after structural relaxation, with properties calculated at the PBE-GGA level.

a = 6.0018 Å, b = 6.0018 Å, c = 8.5479 Å
α = 101.41°, β = 101.41°, γ = 41.97°
Closest atoms and distances in Å follow each position.
Atoms (fractional coordinates):
Sm 0.0000 0.0000 0.0000  8 Ga 3.21-3.29, 4 Al 3.25
Sm 0.3351 0.3351 0.3316  8 Ga 3.19-3.29, 4 Al 3.23-3.26
Sm 0.6649 0.6649 0.6684  8 Ga 3.19-3.29, 4 Al 3.23-3.26
Al 0.3881 0.3881 0.7215  3 Ga 2.48
Al 0.6119 0.6119 0.2785  3 Ga 2.48
Ga 0.0583 0.0583 0.3918  1 Ga 2.48, 2 Al 2.48
Ga 0.2829 0.2829 0.9495  1 Al 2.48, 2 Ga 2.49
Ga 0.7171 0.7171 0.0505  1 Al 2.48, 2 Ga 2.49
Ga 0.9417 0.9417 0.6082  1 Ga 2.48, 2 Al 2.48

Properties
As for the total energy: -39.34 eV for the cell shown. The calculation puts the size of the total moment at 0.0 μB/f.u. The energy of formation comes out at -0.621 eV/atom.

(2)
Below is Sm2Al2Ga after structural relaxation, with properties calculated at the PBE-GGA level.

a = 5.8894 Å, b = 5.8894 Å, c = 10.6471 Å
α = 114.41°, β = 114.41°, γ = 45.37°
Closest atoms and distances in Å follow each position.
Atoms (fractional coordinates):
Sm 0.0186 0.0186 0.3330  7 Al 3.12-3.36, 4 Ga 3.18-3.37
Sm 0.1814 0.1814 0.0940  6 Al 3.14-3.25, 2 Ga 3.31
Sm 0.8186 0.8186 0.9060  6 Al 3.14-3.25, 2 Ga 3.31
Sm 0.9814 0.9814 0.6670  7 Al 3.12-3.36, 4 Ga 3.18-3.37
Al 0.3589 0.3589 0.4342  3 Ga 2.64-2.96, 1 Al 2.74
Al 0.4825 0.4825 0.1186  1 Ga 2.62, 1 Al 2.72
Al 0.5175 0.5175 0.8814  1 Ga 2.62, 1 Al 2.72
Al 0.6411 0.6411 0.5658  3 Ga 2.64-2.96, 1 Al 2.74
Ga 0.2746 0.2746 0.6629  3 Al 2.62-2.64
Ga 0.7254 0.7254 0.3371  3 Al 2.62-2.64

Properties
As for the total energy: -44.93 eV for the cell shown. The calculation puts the size of the total moment at 0.0 μB/f.u. The energy of formation comes out at -0.503 eV/atom.

(3)
Below is SmAl4Ga after structural relaxation, with properties calculated at the PBE-GGA level.

a = 5.5415 Å, b = 5.5415 Å, c = 5.5415 Å
α = 60.00°, β = 60.00°, γ = 60.00°
Closest atoms and distances in Å follow each position.
Atoms (fractional coordinates):
Sm 0.0000 0.0000 0.0000  12 Al 3.25, 4 Ga 3.39
Al 0.3750 0.3750 0.3750  6 Al 2.77
Al 0.3750 0.3750 0.8749  6 Al 2.77
Al 0.3750 0.8749 0.3750  6 Al 2.77
Al 0.8749 0.3750 0.3750  6 Al 2.77
Ga 0.7500 0.7500 0.7500  12 Al 3.25, 4 Sm 3.39

Properties
As for the total energy: -23.76 eV for the cell shown. The calculation puts the size of the total moment at 0.0 μB/f.u. The energy of formation comes out at -0.173 eV/atom.

(4)
Below is Sm3Al3Ga8 after structural relaxation, with properties calculated at the PBE-GGA level.

a = 8.4657 Å, b = 8.4657 Å, c = 8.4657 Å
α = 150.94°, β = 108.25°, γ = 79.21°
Closest atoms and distances in Å follow each position.
Atoms (fractional coordinates):
Sm 0.0000 0.0000 0.0000  12 Ga 3.29, 4 Al 3.52
Sm 0.3168 0.3168 0.0000  8 Ga 3.12-3.17, 4 Al 3.20-3.22
Sm 0.6832 0.6832 0.0000  8 Ga 3.12-3.17, 4 Al 3.20-3.22
Al 0.2831 0.5000 0.7831  6 Ga 2.64-2.79
Al 0.5000 0.0000 0.5000  4 Ga 2.86, 4 Al 3.02, 4 Sm 3.20
Al 0.7169 0.5000 0.2169  6 Ga 2.64-2.79
Ga 0.0364 0.6652 0.3711  4 Ga 2.56-2.73, 1 Al 2.64
Ga 0.1386 0.8618 0.2768  3 Ga 2.61-2.73, 3 Al 2.79-2.86
Ga 0.2941 0.6652 0.6289  4 Ga 2.56-2.73, 1 Al 2.64
Ga 0.4151 0.1382 0.2768  3 Ga 2.61-2.73, 3 Al 2.79-2.86
Ga 0.5849 0.8618 0.7232  3 Ga 2.61-2.73, 3 Al 2.79-2.86
Ga 0.7059 0.3348 0.3711  4 Ga 2.56-2.73, 1 Al 2.64
Ga 0.8614 0.1382 0.7232  3 Ga 2.61-2.73, 3 Al 2.79-2.86
Ga 0.9636 0.3348 0.6289  4 Ga 2.56-2.73, 1 Al 2.64

Properties
As for the total energy: -56.08 eV for the cell shown. The calculation puts the size of the total moment at 0.0 μB/f.u. The energy of formation comes out at -0.463 eV/atom.

(5)
Below is Sm4Al2Ga after structural relaxation, with properties calculated at the PBE-GGA level.

a = 8.9178 Å, b = 8.9178 Å, c = 8.9178 Å
α = 33.59°, β = 33.59°, γ = 33.59°
Closest atoms and distances in Å follow each position.
Atoms (fractional coordinates):
Sm 0.1213 0.1213 0.1213  4 Al 3.12-3.23, 3 Ga 3.19
Sm 0.3729 0.3729 0.3729  4 Al 3.12-3.18, 1 Ga 3.20
Sm 0.6271 0.6271 0.6271  4 Al 3.12-3.18, 1 Ga 3.20
Sm 0.8787 0.8787 0.8787  4 Al 3.12-3.23, 3 Ga 3.19
Al 0.2492 0.2492 0.2492  8 Sm 3.12-3.23
Al 0.7508 0.7508 0.7508  8 Sm 3.12-3.23
Ga 0.5000 0.5000 0.5000  8 Sm 3.19-3.20

Properties
As for the total energy: -31.35 eV for the cell shown. The calculation puts the size of the total moment at 0.0 μB/f.u. The energy of formation comes out at -0.280 eV/atom.

(6)
Below is Sm3Al2Ga after structural relaxation, with properties calculated at the PBE-GGA level.

a = 3.6665 Å, b = 3.6665 Å, c = 11.0403 Å
α = 90.00°, β = 90.00°, γ = 90.00°
Closest atoms and distances in Å follow each position.
Atoms (fractional coordinates):
Sm 0.0000 0.0000 0.0000  8 Al 3.18
Sm 0.0000 0.0000 0.3355  4 Ga 3.17, 4 Al 3.19
Sm 0.0000 0.0000 0.6645  4 Ga 3.17, 4 Al 3.19
Al 0.5000 0.5000 0.1670  8 Sm 3.18-3.19
Al 0.5000 0.5000 0.8330  8 Sm 3.18-3.19
Ga 0.5000 0.5000 0.5000  8 Sm 3.17

Properties
As for the total energy: -27.29 eV for the cell shown. The calculation puts the size of the total moment at 0.0 μB/f.u. The energy of formation comes out at -0.438 eV/atom.

(7)
Below is Sm2AlGa2 after structural relaxation, with properties calculated at the PBE-GGA level.

a = 5.9013 Å, b = 5.9013 Å, c = 5.9013 Å
α = 138.47°, β = 119.46°, γ = 76.09°
Closest atoms and distances in Å follow each position.
Atoms (fractional coordinates):
Sm 0.2109 0.2109 0.0000  6 Ga 3.14-3.17, 2 Al 3.41
Sm 0.7891 0.7891 0.0000  6 Ga 3.14-3.17, 2 Al 3.41
Al 0.5000 0.0000 0.5000  4 Ga 2.65
Ga 0.2256 0.5000 0.7256  2 Al 2.65, 1 Ga 2.69
Ga 0.7744 0.5000 0.2744  2 Al 2.65, 1 Ga 2.69

Properties
As for the total energy: -22.01 eV for the cell shown. The calculation puts the size of the total moment at 0.0 μB/f.u. The energy of formation comes out at -0.556 eV/atom.

(8)
Below is Sm2Al3Ga2 after structural relaxation, with properties calculated at the PBE-GGA level.

a = 10.0802 Å, b = 10.0802 Å, c = 3.5799 Å
α = 90.00°, β = 90.00°, γ = 155.33°
Closest atoms and distances in Å follow each position.
Atoms (fractional coordinates):
Sm 0.1560 0.8440 0.0000  6 Ga 3.01-3.15, 5 Al 3.07-3.29
Sm 0.8440 0.1560 0.0000  6 Ga 3.01-3.15, 5 Al 3.07-3.29
Al 0.0000 0.0000 0.0000  2 Sm 3.07, 8 Al 3.11
Al 0.4317 0.5683 0.5000  1 Al 2.69, 1 Ga 2.84
Al 0.5683 0.4317 0.5000  1 Al 2.69, 1 Ga 2.84
Ga 0.2878 0.7122 0.5000  2 Ga 2.62, 1 Al 2.84
Ga 0.7122 0.2878 0.5000  2 Ga 2.62, 1 Al 2.84

Properties
As for the total energy: -28.99 eV for the cell shown. The calculation puts the size of the total moment at 0.0 μB/f.u. The energy of formation comes out at -0.324 eV/atom.

(9)
Below is Sm2AlGa6 after structural relaxation, with properties calculated at the PBE-GGA level.

a = 5.9960 Å, b = 5.9960 Å, c = 5.7238 Å
α = 90.00°, β = 90.00°, γ = 120.00°
Closest atoms and distances in Å follow each position.
Atoms (fractional coordinates):
Sm 0.3333 0.6667 0.1468  12 Ga 3.18-3.38
Sm 0.6667 0.3333 0.8532  12 Ga 3.18-3.38
Al 0.0000 0.0000 0.0000  6 Ga 2.67
Ga 0.1793 0.3586 0.6666  4 Ga 2.67-2.77, 1 Al 2.67
Ga 0.1793 0.8207 0.6666  4 Ga 2.67-2.77, 1 Al 2.67
Ga 0.3586 0.1793 0.3334  4 Ga 2.67-2.77, 1 Al 2.67
Ga 0.6414 0.8207 0.6666  4 Ga 2.67-2.77, 1 Al 2.67
Ga 0.8207 0.1793 0.3334  4 Ga 2.67-2.77, 1 Al 2.67
Ga 0.8207 0.6414 0.3334  4 Ga 2.67-2.77, 1 Al 2.67

Properties
As for the total energy: -35.85 eV for the cell shown. The calculation puts the size of the total moment at 0.0 μB/f.u. The energy of formation comes out at -0.501 eV/atom.

(10)
Below is SmAl2Ga3 after structural relaxation, with properties calculated at the PBE-GGA level.

a = 4.6000 Å, b = 4.6000 Å, c = 6.3550 Å
α = 90.00°, β = 90.00°, γ = 120.00°
Closest atoms and distances in Å follow each position.
Atoms (fractional coordinates):
Sm 0.0000 0.0000 0.0000  8 Ga 3.14-3.18, 6 Al 3.29
Al 0.3333 0.6667 0.6938  7 Ga 2.67-2.93
Al 0.6667 0.3333 0.3062  7 Ga 2.67-2.93
Ga 0.0000 0.0000 0.5000  6 Al 2.93, 6 Ga 3.05, 2 Sm 3.18
Ga 0.3333 0.6667 0.2644  4 Al 2.67-2.73
Ga 0.6667 0.3333 0.7356  4 Al 2.67-2.73

Properties
As for the total energy: -23.33 eV for the cell shown. The calculation puts the size of the total moment at 0.0 μB/f.u. The energy of formation comes out at -0.341 eV/atom.

(11)
Below is SmAlGa3 after structural relaxation, with properties calculated at the PBE-GGA level.

a = 5.6636 Å, b = 3.0601 Å, c = 12.0602 Å
α = 90.00°, β = 90.00°, γ = 90.00°
Closest atoms and distances in Å follow each position.
Atoms (fractional coordinates):
Sm 0.2500 0.0000 0.1964  2 Sm 3.06, 8 Ga 3.16, 4 Al 3.22
Sm 0.7500 0.0000 0.8036  2 Sm 3.06, 8 Ga 3.16, 4 Al 3.22
Al 0.2500 0.5000 0.7980  4 Ga 2.75-2.82, 2 Al 3.06
Al 0.7500 0.5000 0.2020  4 Ga 2.75-2.82, 2 Al 3.06
Ga 0.0000 0.5000 0.0000  2 Al 2.82, 4 Ga 2.83-3.06, 4 Sm 3.16
Ga 0.0064 0.5000 0.3955  2 Ga 2.52-2.76, 1 Al 2.75
Ga 0.4936 0.5000 0.3955  2 Ga 2.52-2.76, 1 Al 2.75
Ga 0.5000 0.5000 0.0000  2 Al 2.82, 4 Ga 2.83-3.06, 4 Sm 3.16
Ga 0.5064 0.5000 0.6045  2 Ga 2.52-2.76, 1 Al 2.75
Ga 0.9936 0.5000 0.6045  2 Ga 2.52-2.76, 1 Al 2.75

Properties
As for the total energy: -37.45 eV for the cell shown. The calculation puts the size of the total moment at 0.0 μB/f.u. The energy of formation comes out at -0.236 eV/atom.

Copy entry 4 word for word.
Below is Sm3Al3Ga8 after structural relaxation, with properties calculated at the PBE-GGA level.

a = 8.4657 Å, b = 8.4657 Å, c = 8.4657 Å
α = 150.94°, β = 108.25°, γ = 79.21°
Closest atoms and distances in Å follow each position.
Atoms (fractional coordinates):
Sm 0.0000 0.0000 0.0000  12 Ga 3.29, 4 Al 3.52
Sm 0.3168 0.3168 0.0000  8 Ga 3.12-3.17, 4 Al 3.20-3.22
Sm 0.6832 0.6832 0.0000  8 Ga 3.12-3.17, 4 Al 3.20-3.22
Al 0.2831 0.5000 0.7831  6 Ga 2.64-2.79
Al 0.5000 0.0000 0.5000  4 Ga 2.86, 4 Al 3.02, 4 Sm 3.20
Al 0.7169 0.5000 0.2169  6 Ga 2.64-2.79
Ga 0.0364 0.6652 0.3711  4 Ga 2.56-2.73, 1 Al 2.64
Ga 0.1386 0.8618 0.2768  3 Ga 2.61-2.73, 3 Al 2.79-2.86
Ga 0.2941 0.6652 0.6289  4 Ga 2.56-2.73, 1 Al 2.64
Ga 0.4151 0.1382 0.2768  3 Ga 2.61-2.73, 3 Al 2.79-2.86
Ga 0.5849 0.8618 0.7232  3 Ga 2.61-2.73, 3 Al 2.79-2.86
Ga 0.7059 0.3348 0.3711  4 Ga 2.56-2.73, 1 Al 2.64
Ga 0.8614 0.1382 0.7232  3 Ga 2.61-2.73, 3 Al 2.79-2.86
Ga 0.9636 0.3348 0.6289  4 Ga 2.56-2.73, 1 Al 2.64

Properties
As for the total energy: -56.08 eV for the cell shown. The calculation puts the size of the total moment at 0.0 μB/f.u. The energy of formation comes out at -0.463 eV/atom.

energy of formation of number 8 (Sm2Al3Ga2)?
-0.324 eV/atom